VASP calculation (PBE) on an optimized crystal structure of PuScTaN3.

a b c (Å): 5.6070 3.2571 8.4132
angles (deg): 90.00 102.90 90.00
Closest atoms and distances in Å follow each position.
Space group P2_1/m (No. 11)
Symmetry-distinct sites (fractional):
Pu: 0.1483 0.2500 0.1914 [2 per cell]  7 N 2.40-2.50
Sc: 0.2705 0.7500 0.5454 [2 per cell]  6 N 2.22-2.40
Ta: 0.3676 0.2500 0.8590 [2 per cell]  5 N 2.09-2.25
N: 0.0546 0.2500 0.6693 [2 per cell]  1 Ta 2.09, 1 Sc 2.26
N: 0.2474 0.7500 0.9900 [2 per cell]  3 Ta 2.16-2.25, 1 Pu 2.40
N: 0.4589 0.7500 0.3398 [2 per cell]  1 Ta 2.11, 3 Sc 2.22-2.29

Calculated values
Crystal system   monoclinic
Total moment   4.5 μB per formula unit
Total energy   -10.974 eV per atom

=====

VASP calculation (PBE) on an optimized crystal structure of PuScTe2N.

a b c (Å): 4.0080 4.0080 15.0588
angles (deg): 90.00 90.00 90.00
Closest atoms and distances in Å follow each position.
Space group P4/nmm (No. 129, origin choice 2)
Symmetry-distinct sites (fractional):
Pu: 0.2500 0.2500 0.0710 [2 per cell]  4 N 2.27
Sc: 0.2500 0.2500 0.6235 [2 per cell]  5 Te 2.77-2.89
Te: 0.2500 0.2500 0.4136 [2 per cell]  5 Sc 2.89-3.16
Te: 0.2500 0.2500 0.8073 [2 per cell]  1 Sc 2.77
N: 0.2500 0.7500 0.0000 [2 per cell]  4 Pu 2.27

Calculated values
Crystal system   tetragonal
Total moment   3.9 μB per formula unit
Total energy   -8.229 eV per atom

=====

VASP calculation (PBE) on an optimized crystal structure of Pu3Sc2UN6.

a b c (Å): 5.8457 10.1300 5.9067
angles (deg): 90.00 109.26 90.00
Closest atoms and distances in Å follow each position.
Space group C2/m (No. 12)
Symmetry-distinct sites (fractional):
Pu: 0.0000 0.0000 0.0000 [2 per cell]  6 N 2.46-2.48
Pu: 0.0000 0.3299 0.0000 [4 per cell]  6 N 2.45-2.48
Sc: 0.0000 0.1662 0.5000 [4 per cell]  6 N 2.33-2.34
U: 0.0000 0.5000 0.5000 [2 per cell]  6 N 2.32
N: 0.2419 0.3344 0.7285 [8 per cell]  1 U 2.32, 2 Sc 2.33-2.34, 3 Pu 2.45-2.46
N: 0.2462 0.0000 0.7300 [4 per cell]  1 U 2.32, 2 Sc 2.34, 3 Pu 2.48

Calculated values
Crystal system   monoclinic
Total moment   16.1 μB per formula unit
Total energy   -11.211 eV per atom

=====

VASP calculation (PBE) on an optimized crystal structure of Pu2ZrScN4.

a b c (Å): 5.8039 3.3544 5.8216
angles (deg): 90.00 109.40 90.00
Closest atoms and distances in Å follow each position.
Space group P2/m (No. 10)
Symmetry-distinct sites (fractional):
Pu: 0.0000 0.0000 0.0000 [1 per cell]  6 N 2.41-2.42
Pu: 0.5000 0.5000 0.0000 [1 per cell]  6 N 2.42
Zr: 0.0000 0.5000 0.5000 [1 per cell]  6 N 2.32-2.33
Sc: 0.5000 0.0000 0.5000 [1 per cell]  6 N 2.33
N: 0.2452 0.0000 0.7357 [2 per cell]  1 Sc 2.33, 2 Zr 2.33, 3 Pu 2.42
N: 0.2532 0.5000 0.2637 [2 per cell]  1 Zr 2.32, 2 Sc 2.33, 3 Pu 2.41-2.42

Calculated values
Crystal system   monoclinic
Total moment   9.5 μB per formula unit
Total energy   -11.136 eV per atom

=====

VASP calculation (PBE) on an optimized crystal structure of PuZrSc2N4.

a b c (Å): 5.6686 3.2920 5.7030
angles (deg): 90.00 109.46 90.00
Closest atoms and distances in Å follow each position.
Space group P2/m (No. 10)
Symmetry-distinct sites (fractional):
Pu: 0.0000 0.0000 0.0000 [1 per cell]  6 N 2.36
Zr: 0.0000 0.5000 0.5000 [1 per cell]  6 N 2.31-2.32
Sc: 0.5000 0.0000 0.5000 [1 per cell]  6 N 2.29
Sc: 0.5000 0.5000 0.0000 [1 per cell]  6 N 2.33
N: 0.2531 0.0000 0.7455 [2 per cell]  3 Sc 2.29-2.33, 2 Zr 2.32, 1 Pu 2.36
N: 0.2570 0.5000 0.2585 [2 per cell]  3 Sc 2.29-2.33, 1 Zr 2.31, 2 Pu 2.36

Calculated values
Crystal system   monoclinic
Total moment   4.7 μB per formula unit
Total energy   -10.285 eV per atom

=====

VASP calculation (PBE) on an optimized crystal structure of Pu4Se2N.

a b c (Å): 4.6413 4.6413 15.4033
angles (deg): 90.00 90.00 90.00
Closest atoms and distances in Å follow each position.
Space group I4/mmm (No. 139)
Symmetry-distinct sites (fractional):
Pu: 0.0000 0.0000 0.1699 [4 per cell]  1 N 2.62
Pu: 0.0000 0.5000 0.0000 [4 per cell]  2 N 2.32
Se: 0.0000 0.0000 0.3631 [4 per cell]  9 Pu 2.98-3.32
N: 0.0000 0.0000 0.0000 [2 per cell]  4 Pu 2.32

Calculated values
Crystal system   tetragonal
Total moment   24.7 μB per formula unit
Total energy   -11.313 eV per atom

=====

VASP calculation (PBE) on an optimized crystal structure of PuSeN.

a b c (Å): 3.8102 3.8102 7.0212
angles (deg): 90.00 90.00 90.00
Closest atoms and distances in Å follow each position.
Space group P4/nmm (No. 129, origin choice 2)
Symmetry-distinct sites (fractional):
Pu: 0.2500 0.2500 0.1666 [2 per cell]  4 N 2.24
Se: 0.2500 0.2500 0.6299 [2 per cell]  5 Pu 3.05-3.25, 4 N 3.22, 4 Se 3.25
N: 0.2500 0.7500 0.0000 [2 per cell]  4 Pu 2.24

Calculated values
Crystal system   tetragonal
Total moment   3.2 μB per formula unit
Total energy   -9.864 eV per atom

=====

VASP calculation (PBE) on an optimized crystal structure of PuSeN.

a b c (Å): 3.4428 3.4428 9.8088
angles (deg): 90.00 90.00 90.00
Closest atoms and distances in Å follow each position.
Space group I4mm (No. 107)
Symmetry-distinct sites (fractional):
Pu: 0.0000 0.0000 0.0000 [2 per cell]  4 N 2.46
Se: 0.0000 0.0000 0.3215 [2 per cell]  1 N 2.07
N: 0.0000 0.0000 0.5324 [2 per cell]  1 Se 2.07

Calculated values
Crystal system   tetragonal
Total moment   4.8 μB per formula unit
Total energy   -9.309 eV per atom

=====

VASP calculation (PBE) on an optimized crystal structure of Pu2SeN2.

a b c (Å): 7.4673 9.4221 10.0549
angles (deg): 90.00 90.00 90.00
Closest atoms and distances in Å follow each position.
Space group Fddd (No. 70, origin choice 2)
Symmetry-distinct sites (fractional):
Pu: 0.1250 0.3197 0.1250 [16 per cell]  4 N 2.26-2.28
Se: 0.1250 0.1250 0.6250 [8 per cell]  6 Pu 2.88-3.17, 4 N 3.22
N: 0.1250 0.1250 0.2602 [16 per cell]  4 Pu 2.26-2.28

Calculated values
Crystal system   orthorhombic
Total moment   8.0 μB per formula unit
Total energy   -11.058 eV per atom

=====

VASP calculation (PBE) on an optimized crystal structure of PuSeN.

a b c (Å): 3.7652 3.7652 4.2646
angles (deg): 90.00 90.00 120.00
Closest atoms and distances in Å follow each position.
Space group P-6m2 (No. 187)
Symmetry-distinct sites (fractional):
Pu: 0.0000 0.0000 0.0000 [1 per cell]  3 N 2.17
Se: 0.3333 0.6667 0.5000 [1 per cell]  6 Pu 3.05, 6 N 3.05
N: 0.6667 0.3333 0.0000 [1 per cell]  3 Pu 2.17

Calculated values
Crystal system   hexagonal
Total moment   3.1 μB per formula unit
Total energy   -9.652 eV per atom

=====

VASP calculation (PBE) on an optimized crystal structure of SmPuSe2N.

a b c (Å): 3.9626 3.9626 14.7698
angles (deg): 90.00 90.00 90.00
Closest atoms and distances in Å follow each position.
Space group P4/nmm (No. 129, origin choice 2)
Symmetry-distinct sites (fractional):
Sm: 0.2500 0.2500 0.1317 [2 per cell]  5 Se 2.76-2.88
Pu: 0.2500 0.2500 0.5743 [2 per cell]  4 N 2.27
Se: 0.2500 0.2500 0.3183 [2 per cell]  1 Sm 2.76
Se: 0.2500 0.2500 0.9123 [2 per cell]  4 Sm 2.88
N: 0.2500 0.7500 0.5000 [2 per cell]  4 Pu 2.27

Calculated values
Crystal system   tetragonal
Total moment   3.8 μB per formula unit
Total energy   -8.414 eV per atom

=====

VASP calculation (PBE) on an optimized crystal structure of Sm2PuSe2N2.

a b c (Å): 4.2978 4.2978 15.3197
angles (deg): 90.00 90.00 90.00
Closest atoms and distances in Å follow each position.
Space group I4/mmm (No. 139)
Symmetry-distinct sites (fractional):
Sm: 0.0000 0.0000 0.1177 [4 per cell]  4 N 2.81, 1 Se 3.03
Pu: 0.0000 0.0000 0.5000 [2 per cell]  4 N 2.15
Se: 0.0000 0.0000 0.3157 [4 per cell]  1 Pu 2.82, 1 Sm 3.03
N: 0.0000 0.5000 0.0000 [4 per cell]  2 Pu 2.15

Calculated values
Crystal system   tetragonal
Total moment   4.0 μB per formula unit
Total energy   -8.247 eV per atom

=====

VASP calculation (PBE) on an optimized crystal structure of TbPuSeN.

a b c (Å): 3.7005 3.7005 19.7730
angles (deg): 90.00 90.00 120.00
Closest atoms and distances in Å follow each position.
Space group R3m (No. 160, hexagonal axes)
Symmetry-distinct sites (fractional):
Tb: 0.0000 0.0000 0.0000 [3 per cell]  3 N 2.50
Pu: 0.0000 0.0000 0.4668 [3 per cell]  3 N 2.52
Se: 0.0000 0.0000 0.2344 [3 per cell]  3 Tb 2.90, 3 Pu 2.92
N: 0.0000 0.0000 0.7324 [3 per cell]  3 Tb 2.50, 3 Pu 2.52

Calculated values
Crystal system   trigonal
Total moment   5.6 μB per formula unit
Total energy   -9.193 eV per atom